Record 1
This record from Alexandria via LeMat-Bulk describes an optimized crystal structure of SrLi2Zn. The functional is PBE.

Density of states at the Fermi level: 3.3 states/eV per cell
Electronic total energy: -6.8 eV for the cell shown
Crystal system: tetragonal
Energy relative to the elements: 1 meV per atom

Unit cell a=5.5153 b=5.5153 c=5.5153 alpha=127.31 beta=127.31 gamma=77.74
Fractional positions:
Sr (0.0000, 0.0000, 0.0000)
Li (0.5000, 0.5000, 0.0000)
Li (0.7500, 0.2500, 0.5000)
Zn (0.2500, 0.7500, 0.5000)



Record 2
This record from Alexandria via LeMat-Bulk describes an optimized crystal structure of SrLi2Zn2. The functional is PBE.

Relative energy among the computed polymorphs: 7 kJ/mol of formula units
Density of states at the Fermi level: 3.5 states/eV per cell
Electronic total energy: -8.7 eV for the cell shown
Crystal system: tetragonal
Energy relative to the elements: -126 meV per atom

Unit cell a=6.8662 b=6.8662 c=6.8662 alpha=142.81 beta=142.81 gamma=53.61
Fractional positions:
Sr (0.0000, 0.0000, 0.0000)
Li (0.2500, 0.7500, 0.5000)
Li (0.7500, 0.2500, 0.5000)
Zn (0.3927, 0.3927, 0.0000)
Zn (0.6073, 0.6073, 0.0000)



Record 3
This record from Alexandria via LeMat-Bulk describes an optimized crystal structure of Sr3Li4Zn2. The functional is PBE.

Density of states at the Fermi level: 7.3 states/eV per cell
Electronic total energy: -15.8 eV for the cell shown
Crystal system: monoclinic
Energy relative to the elements: -65 meV per atom

Unit cell a=6.4170 b=6.4170 c=9.3835 alpha=110.19 beta=110.19 gamma=45.80
Fractional positions:
Sr (0.0000, 0.0000, 0.0000)
Sr (0.3883, 0.3883, 0.6320)
Sr (0.6117, 0.6117, 0.3680)
Li (0.1053, 0.1053, 0.6591)
Li (0.2845, 0.2845, 0.9522)
Li (0.7155, 0.7155, 0.0478)
Li (0.8947, 0.8947, 0.3409)
Zn (0.2847, 0.2847, 0.2453)
Zn (0.7153, 0.7153, 0.7547)